The following is a PBE calculation of a relaxed AlRe2Ir crystal, from Alexandria.

Cell lengths 4.690, 4.690, 4.835 Å; angles 81.04, 81.04, 34.37 degrees
Element x y z (fractional)
Re: 0.992 0.992 0.967
Re: 0.747 0.747 0.774
Ir: 0.254 0.254 0.287
Al: 0.507 0.507 0.472

Computed properties:
formation energy from the elements = -0.15 eV per atom
M_tot = 0.0 μB per cell